No. 1
A relaxed structure of LiErPa, computed with PBE.

The structure belongs to space group C2/m (No. 12); the cell edges are 8.980, 5.185 and 6.717 Å and the angles 90.00°, 91.55° and 90.00°. The asymmetric unit holds Li at (0.166, 0.000, 0.000), Er at (0.004, 0.500, 0.740) and Pa at (0.167, 0.000, 0.500).

The theoretical density is 8.608 g cm⁻³. The magnetization comes out at 0.62 μB per formula unit. The calculation puts the raw total energy at -0.186 Ha/atom. The formation energy comes out at 0.27 eV/atom.


No. 2
A relaxed structure of LiErPaRe, computed with PBE.

The structure belongs to space group F-43m (No. 216); the cell edges are 6.923, 6.923 and 6.923 Å and the angles 90.00°, 90.00° and 90.00°. The asymmetric unit holds Li at (0.000, 0.000, 0.000), Er at (0.250, 0.250, 0.250), Pa at (0.250, 0.250, 0.750) and Re at (0.000, 0.000, 0.500).

The theoretical density is 11.839 g cm⁻³. The magnetization comes out at 0.00 μB per formula unit. The calculation puts the raw total energy at -0.258 Ha/atom. The formation energy comes out at 0.08 eV/atom.


No. 3
A relaxed structure of LiEr2PaS6, computed with PBE.

The structure belongs to space group P4mm (No. 99); the cell edges are 6.329, 6.329 and 6.405 Å and the angles 90.00°, 90.00° and 90.00°. The asymmetric unit holds Li at (0.000, 0.000, 0.000), Er at (0.000, 0.500, 0.444), Pa at (0.500, 0.500, 0.050), S at (0.000, 0.000, 0.635), S at (0.240, 0.240, 0.210) and S at (0.500, 0.500, 0.637).

The theoretical density is 4.950 g cm⁻³. The magnetization comes out at 0.00 μB per formula unit. The calculation puts the raw total energy at -0.217 Ha/atom.


No. 4
A relaxed structure of Li2ErPaS4, computed with PBE.

The structure belongs to space group P2/m (No. 10); the cell edges are 6.631, 3.829 and 6.743 Å and the angles 90.00°, 109.55° and 90.00°. The asymmetric unit holds Li at (0.000, 0.000, 0.000), Li at (0.000, 0.500, 0.500), Er at (0.500, 0.000, 0.500), Pa at (0.500, 0.500, 0.000), S at (0.241, 0.000, 0.742) and S at (0.247, 0.500, 0.249).

The theoretical density is 5.563 g cm⁻³. The magnetization comes out at 1.80 μB per formula unit. The calculation puts the raw total energy at -0.218 Ha/atom.


Copy entry 1 word for word.
A relaxed structure of LiErPa, computed with PBE.

The structure belongs to space group C2/m (No. 12); the cell edges are 8.980, 5.185 and 6.717 Å and the angles 90.00°, 91.55° and 90.00°. The asymmetric unit holds Li at (0.166, 0.000, 0.000), Er at (0.004, 0.500, 0.740) and Pa at (0.167, 0.000, 0.500).

The theoretical density is 8.608 g cm⁻³. The magnetization comes out at 0.62 μB per formula unit. The calculation puts the raw total energy at -0.186 Ha/atom. The formation energy comes out at 0.27 eV/atom.


> Which formula does entry 2 have?

LiErPaRe


> Which value of raw total energy does entry 3 give?

-0.217 Ha/atom


> Which formula does entry 2 have?

LiErPaRe